No. 1
First-principles (PBE-GGA) data for a relaxed Zr3CdAu crystal, as listed in Alexandria via LeMat-Bulk.

- Formation energy from the elements: 0.54 eV per atom
- Density of states at the Fermi level: 6.9 states/eV per cell

a b c (Å): 5.1845 5.1845 5.1845
angles (deg): 90.00 90.00 90.00
Last column: nearest neighbours and their distance in Å.
Space group Pm-3m (No. 221)
Unique sites:
Zr 0.0000 0.0000 0.5000 [3 per cell]  2 Au 2.59
Cd 0.5000 0.5000 0.5000 [1 per cell]  12 Zr 3.67
Au 0.0000 0.0000 0.0000 [1 per cell]  6 Zr 2.59

***

No. 2
First-principles (PBE-GGA) data for a relaxed Pr2ErTm2Mg5 crystal, as listed in Alexandria via LeMat-Bulk.

- Formation energy from the elements: 0.03 eV per atom
- Density of states at the Fermi level: 13.6 states/eV per cell

a b c (Å): 10.6047 10.6047 5.0598
angles (deg): 90.00 90.00 90.00
Last column: nearest neighbours and their distance in Å.
Space group P4/mbm (No. 127)
Unique sites:
Pr 0.1768 0.3232 0.0000 [4 per cell]  3 Tm 3.06-3.20
Er 0.0000 0.0000 0.0000 [2 per cell]  8 Mg 3.37
Tm 0.1194 0.6194 0.0000 [4 per cell]  3 Pr 3.06-3.20, 6 Mg 3.10-3.23
Mg 0.0000 0.5000 0.5000 [2 per cell]  4 Tm 3.10, 4 Mg 3.28
Mg 0.0693 0.8015 0.5000 [8 per cell]  4 Mg 3.15-3.48, 2 Tm 3.23, 2 Er 3.37